Model 1:
DFT (PBE) results for TiCI3 after structural relaxation.

a b c (Å): 5.5320 5.5320 5.5320
angles (deg): 90.00 90.00 90.00
Last column: nearest neighbours and their distance in Å.
Element x y z (fractional)
Ti (0.0000, 0.0000, 0.0000)  6 I 2.77
C (0.5000, 0.5000, 0.5000)  12 I 3.91
I (0.0000, 0.0000, 0.5000)  2 Ti 2.77
I (0.0000, 0.5000, 0.0000)  2 Ti 2.77
I (0.5000, 0.0000, 0.0000)  2 Ti 2.77

=====

Model 2:
DFT (PBE) results for TiCI3 after structural relaxation.

a b c (Å): 4.9726 4.9726 4.9726
angles (deg): 90.00 90.00 90.00
Last column: nearest neighbours and their distance in Å.
Element x y z (fractional)
Ti (0.0000, 0.0000, 0.0000)  12 I 3.52
C (0.5000, 0.5000, 0.5000)  6 I 2.49
I (0.0000, 0.5000, 0.5000)  2 C 2.49
I (0.5000, 0.0000, 0.5000)  2 C 2.49
I (0.5000, 0.5000, 0.0000)  2 C 2.49

=====

Relative energy table, unit meV/atom: model 1 0; model 2 259

=====

Model 1:
DFT (PBE) results for Y2TiCI after structural relaxation.

a b c (Å): 5.1095 5.1095 4.1612
angles (deg): 90.00 90.00 90.00
Last column: nearest neighbours and their distance in Å.
Element x y z (fractional)
Y (0.0000, 0.5000, 0.0000)  2 C 2.55
Y (0.5000, 0.0000, 0.0000)  2 C 2.55
Ti (0.0000, 0.0000, 0.5000)  2 C 2.08
C (0.0000, 0.0000, 0.0000)  2 Ti 2.08
I (0.5000, 0.5000, 0.5000)  8 Y 3.29, 4 Ti 3.61

=====

Model 2:
DFT (PBE) results for Y2TiCI after structural relaxation.

a b c (Å): 5.6027 5.6027 4.8754
angles (deg): 90.00 90.00 90.00
Last column: nearest neighbours and their distance in Å.
Element x y z (fractional)
Y (0.0000, 0.5000, 0.0000)  2 I 2.80
Y (0.5000, 0.0000, 0.0000)  2 I 2.80
Ti (0.0000, 0.0000, 0.5000)  2 I 2.44
C (0.5000, 0.5000, 0.5000)  8 Y 3.71, 4 Ti 3.96
I (0.0000, 0.0000, 0.0000)  2 Ti 2.44

=====

Relative energy table, unit meV/atom: model 1 0; model 2 1928

=====

Model 1:
DFT (PBE) results for Tl3CI after structural relaxation.

a b c (Å): 5.2821 5.2821 5.2821
angles (deg): 90.00 90.00 90.00
Last column: nearest neighbours and their distance in Å.
Element x y z (fractional)
Tl (0.0000, 0.0000, 0.5000)  2 C 2.64
Tl (0.0000, 0.5000, 0.0000)  2 C 2.64
Tl (0.5000, 0.0000, 0.0000)  2 C 2.64
C (0.0000, 0.0000, 0.0000)  6 Tl 2.64
I (0.5000, 0.5000, 0.5000)  12 Tl 3.73

=====

Model 2:
DFT (PBE) results for Tl3CI after structural relaxation.

a b c (Å): 6.5251 6.5251 6.5251
angles (deg): 90.00 90.00 90.00
Last column: nearest neighbours and their distance in Å.
Element x y z (fractional)
Tl (0.0000, 0.0000, 0.5000)  2 I 3.26
Tl (0.0000, 0.5000, 0.0000)  2 I 3.26
Tl (0.5000, 0.0000, 0.0000)  2 I 3.26
C (0.5000, 0.5000, 0.5000)  12 Tl 4.61
I (0.0000, 0.0000, 0.0000)  6 Tl 3.26

=====

Relative energy table, unit meV/atom: model 1 0; model 2 835

=====

Model 1:
DFT (PBE) results for TlC3I after structural relaxation.

a b c (Å): 4.5780 4.5780 4.5780
angles (deg): 90.00 90.00 90.00
Last column: nearest neighbours and their distance in Å.
Element x y z (fractional)
Tl (0.0000, 0.0000, 0.0000)  6 C 2.29
C (0.0000, 0.0000, 0.5000)  2 Tl 2.29
C (0.0000, 0.5000, 0.0000)  2 Tl 2.29
C (0.5000, 0.0000, 0.0000)  2 Tl 2.29
I (0.5000, 0.5000, 0.5000)  12 C 3.24

=====

Model 2:
DFT (PBE) results for TlC3I after structural relaxation.

a b c (Å): 4.3425 4.3425 4.3425
angles (deg): 90.00 90.00 90.00
Last column: nearest neighbours and their distance in Å.
Element x y z (fractional)
Tl (0.0000, 0.0000, 0.0000)  12 C 3.07
C (0.0000, 0.5000, 0.5000)  2 I 2.17
C (0.5000, 0.0000, 0.5000)  2 I 2.17
C (0.5000, 0.5000, 0.0000)  2 I 2.17
I (0.5000, 0.5000, 0.5000)  6 C 2.17

=====

Relative energy table, unit meV/atom: model 1 194; model 2 0

=====

Model 1:
DFT (PBE) results for TlCI2 after structural relaxation.

a b c (Å): 7.9060 7.9060 7.9060
angles (deg): 90.00 90.00 90.00
Last column: nearest neighbours and their distance in Å.
Element x y z (fractional)
Tl (0.0000, 0.0000, 0.0000)  8 I 3.42
Tl (0.0000, 0.5000, 0.5000)  8 I 3.42
Tl (0.5000, 0.0000, 0.5000)  8 I 3.42
Tl (0.5000, 0.5000, 0.0000)  8 I 3.42
C (0.0000, 0.0000, 0.5000)  8 I 3.42
C (0.0000, 0.5000, 0.0000)  8 I 3.42
C (0.5000, 0.0000, 0.0000)  8 I 3.42
C (0.5000, 0.5000, 0.5000)  8 I 3.42
I (0.2500, 0.2500, 0.2500)  4 Tl 3.42, 4 C 3.42
I (0.2500, 0.2500, 0.7500)  4 Tl 3.42, 4 C 3.42
I (0.2500, 0.7500, 0.2500)  4 Tl 3.42, 4 C 3.42
I (0.2500, 0.7500, 0.7500)  4 Tl 3.42, 4 C 3.42
I (0.7500, 0.2500, 0.2500)  4 Tl 3.42, 4 C 3.42
I (0.7500, 0.2500, 0.7500)  4 Tl 3.42, 4 C 3.42
I (0.7500, 0.7500, 0.2500)  4 Tl 3.42, 4 C 3.42
I (0.7500, 0.7500, 0.7500)  4 Tl 3.42, 4 C 3.42

=====

Model 2:
DFT (PBE) results for TlCI2 after structural relaxation.

a b c (Å): 7.5460 7.5460 10.6668
angles (deg): 90.00 90.00 90.00
Last column: nearest neighbours and their distance in Å.
Element x y z (fractional)
Tl (0.0000, 0.0000, 0.0000)  12 I 4.41-4.44, 4 Tl 4.62, 4 C 4.62
Tl (0.0000, 0.5000, 0.2500)  12 I 4.41-4.44, 4 Tl 4.62, 4 C 4.62
Tl (0.5000, 0.0000, 0.7500)  12 I 4.41-4.44, 4 Tl 4.62, 4 C 4.62
Tl (0.5000, 0.5000, 0.5000)  12 I 4.41-4.44, 4 Tl 4.62, 4 C 4.62
C (0.0000, 0.0000, 0.5000)  4 I 2.31
C (0.0000, 0.5000, 0.7500)  4 I 2.31
C (0.5000, 0.0000, 0.2500)  4 I 2.31
C (0.5000, 0.5000, 0.0000)  4 I 2.31
I (0.0018, 0.7500, 0.6250)  2 C 2.31
I (0.2500, 0.0018, 0.3750)  2 C 2.31
I (0.2500, 0.4982, 0.8750)  2 C 2.31
I (0.4982, 0.7500, 0.1250)  2 C 2.31
I (0.5018, 0.2500, 0.1250)  2 C 2.31
I (0.7500, 0.5018, 0.8750)  2 C 2.31
I (0.7500, 0.9982, 0.3750)  2 C 2.31
I (0.9982, 0.2500, 0.6250)  2 C 2.31

=====

Relative energy table, unit meV/atom: model 1 536; model 2 0

=====

Model 1:
DFT (PBE) results for VC2I after structural relaxation.

a b c (Å): 5.2957 5.2957 9.5985
angles (deg): 90.00 90.00 90.00
Last column: nearest neighbours and their distance in Å.
Element x y z (fractional)
V (0.0000, 0.0000, 0.0000)  4 C 1.93
V (0.0000, 0.5000, 0.2500)  4 C 1.93
V (0.5000, 0.0000, 0.7500)  4 C 1.93
V (0.5000, 0.5000, 0.5000)  4 C 1.93
C (0.1383, 0.2500, 0.1250)  2 V 1.93
C (0.2500, 0.6383, 0.3750)  2 V 1.93
C (0.2500, 0.8617, 0.8750)  2 V 1.93
C (0.3617, 0.2500, 0.6250)  2 V 1.93
C (0.6383, 0.7500, 0.6250)  2 V 1.93
C (0.7500, 0.1383, 0.8750)  2 V 1.93
C (0.7500, 0.3617, 0.3750)  2 V 1.93
C (0.8617, 0.7500, 0.1250)  2 V 1.93
I (0.0000, 0.0000, 0.5000)  4 C 2.62
I (0.0000, 0.5000, 0.7500)  4 C 2.62
I (0.5000, 0.0000, 0.2500)  4 C 2.62
I (0.5000, 0.5000, 0.0000)  4 C 2.62

=====

Model 2:
DFT (PBE) results for VC2I after structural relaxation.

a b c (Å): 5.7769 5.7769 5.7769
angles (deg): 90.00 90.00 90.00
Last column: nearest neighbours and their distance in Å.
Element x y z (fractional)
V (0.0000, 0.0000, 0.0000)  8 C 2.50
V (0.0000, 0.5000, 0.5000)  8 C 2.50
V (0.5000, 0.0000, 0.5000)  8 C 2.50
V (0.5000, 0.5000, 0.0000)  8 C 2.50
C (0.2500, 0.2500, 0.2500)  4 I 2.50, 4 V 2.50
C (0.2500, 0.2500, 0.7500)  4 I 2.50, 4 V 2.50
C (0.2500, 0.7500, 0.2500)  4 I 2.50, 4 V 2.50
C (0.2500, 0.7500, 0.7500)  4 I 2.50, 4 V 2.50
C (0.7500, 0.2500, 0.2500)  4 I 2.50, 4 V 2.50
C (0.7500, 0.2500, 0.7500)  4 I 2.50, 4 V 2.50
C (0.7500, 0.7500, 0.2500)  4 I 2.50, 4 V 2.50
C (0.7500, 0.7500, 0.7500)  4 I 2.50, 4 V 2.50
I (0.0000, 0.0000, 0.5000)  8 C 2.50
I (0.0000, 0.5000, 0.0000)  8 C 2.50
I (0.5000, 0.0000, 0.0000)  8 C 2.50
I (0.5000, 0.5000, 0.5000)  8 C 2.50

=====

Relative energy table, unit meV/atom: model 1 0; model 2 990

=====

Model 1:
DFT (PBE) results for VC3I after structural relaxation.

a b c (Å): 4.0987 4.0987 4.0987
angles (deg): 90.00 90.00 90.00
Last column: nearest neighbours and their distance in Å.
Element x y z (fractional)
V (0.0000, 0.0000, 0.0000)  12 C 2.90
C (0.0000, 0.5000, 0.5000)  2 I 2.05
C (0.5000, 0.0000, 0.5000)  2 I 2.05
C (0.5000, 0.5000, 0.0000)  2 I 2.05
I (0.5000, 0.5000, 0.5000)  6 C 2.05

=====

Model 2:
DFT (PBE) results for VC3I after structural relaxation.

a b c (Å): 4.0935 4.0935 4.0935
angles (deg): 90.00 90.00 90.00
Last column: nearest neighbours and their distance in Å.
Element x y z (fractional)
V (0.0000, 0.0000, 0.0000)  6 C 2.05
C (0.0000, 0.0000, 0.5000)  2 V 2.05
C (0.0000, 0.5000, 0.0000)  2 V 2.05
C (0.5000, 0.0000, 0.0000)  2 V 2.05
I (0.5000, 0.5000, 0.5000)  12 C 2.89

=====

Relative energy table, unit meV/atom: model 1 1133; model 2 0

=====

Model 1:
DFT (PBE) results for WCI2 after structural relaxation.

a b c (Å): 6.2730 6.2730 10.1152
angles (deg): 90.00 90.00 90.00
Last column: nearest neighbours and their distance in Å.
Element x y z (fractional)
W (0.0000, 0.0000, 0.0000)  4 I 2.62
W (0.0000, 0.5000, 0.2500)  4 I 2.62
W (0.5000, 0.0000, 0.7500)  4 I 2.62
W (0.5000, 0.5000, 0.5000)  4 I 2.62
C (0.0000, 0.0000, 0.5000)  4 I 2.49
C (0.0000, 0.5000, 0.7500)  4 I 2.49
C (0.5000, 0.0000, 0.2500)  4 I 2.49
C (0.5000, 0.5000, 0.0000)  4 I 2.49
I (0.2329, 0.2500, 0.6250)  2 C 2.49, 2 W 2.62
I (0.2500, 0.7329, 0.8750)  2 C 2.49, 2 W 2.62
I (0.2500, 0.7671, 0.3750)  2 C 2.49, 2 W 2.62
I (0.2671, 0.2500, 0.1250)  2 C 2.49, 2 W 2.62
I (0.7329, 0.7500, 0.1250)  2 C 2.49, 2 W 2.62
I (0.7500, 0.2329, 0.3750)  2 C 2.49, 2 W 2.62
I (0.7500, 0.2671, 0.8750)  2 C 2.49, 2 W 2.62
I (0.7671, 0.7500, 0.6250)  2 C 2.49, 2 W 2.62

=====

Model 2:
DFT (PBE) results for WCI2 after structural relaxation.

a b c (Å): 6.6957 6.6957 6.6957
angles (deg): 90.00 90.00 90.00
Last column: nearest neighbours and their distance in Å.
Element x y z (fractional)
W (0.0000, 0.0000, 0.0000)  8 I 2.90
W (0.0000, 0.5000, 0.5000)  8 I 2.90
W (0.5000, 0.0000, 0.5000)  8 I 2.90
W (0.5000, 0.5000, 0.0000)  8 I 2.90
C (0.0000, 0.0000, 0.5000)  8 I 2.90
C (0.0000, 0.5000, 0.0000)  8 I 2.90
C (0.5000, 0.0000, 0.0000)  8 I 2.90
C (0.5000, 0.5000, 0.5000)  8 I 2.90
I (0.2500, 0.2500, 0.2500)  4 W 2.90, 4 C 2.90
I (0.2500, 0.2500, 0.7500)  4 C 2.90, 4 W 2.90
I (0.2500, 0.7500, 0.2500)  4 C 2.90, 4 W 2.90
I (0.2500, 0.7500, 0.7500)  4 W 2.90, 4 C 2.90
I (0.7500, 0.2500, 0.2500)  4 C 2.90, 4 W 2.90
I (0.7500, 0.2500, 0.7500)  4 W 2.90, 4 C 2.90
I (0.7500, 0.7500, 0.2500)  4 W 2.90, 4 C 2.90
I (0.7500, 0.7500, 0.7500)  4 C 2.90, 4 W 2.90

=====

Relative energy table, unit meV/atom: model 1 72; model 2 0